Crystalline PdRhBr2 at its relaxed geometry. Source: the Alexandria database, functional PBE.

The structure in extended XYZ format:
```
4
Lattice="5.589 1.189 6.259 7.160 -1.336 4.333 7.485 2.065 3.397" Properties=species:S:1:pos:R:3 pbc="T T T"
Rh 0.000 0.000 0.000
Br 18.276 1.732 12.635
Br 1.958 0.186 1.353
Pd 10.117 0.959 6.994
```

Calculated values
Polymorph energy (0 for the lowest one) (meV per atom): 160.5
Formation energy without anion corrections (meV/atom): 387.5
Raw total energy (eV per atom): -3.5850
Space group: No. 166



Crystalline PdRhBr2 at its relaxed geometry. Source: the Alexandria database, functional PBE.

The structure in extended XYZ format:
```
8
Lattice="6.182 0.000 0.000 0.000 6.182 0.000 3.091 3.091 5.151" Properties=species:S:1:pos:R:3 pbc="T T T"
Rh 3.091 3.091 0.000
Rh 3.091 6.182 2.576
Br 4.544 1.546 1.288
Br 1.638 4.637 1.288
Br 4.637 4.729 3.864
Br 7.728 7.635 3.864
Pd 0.000 0.000 0.000
Pd 6.182 3.091 2.576
```

Calculated values
Polymorph energy (0 for the lowest one) (meV per atom): 107.5
Formation energy without anion corrections (meV/atom): 334.5
Raw total energy (eV per atom): -3.6380
Space group: No. 122